The following is a PBE-GGA calculation of crystalline LiLuNiSn at its relaxed geometry, from OQMD via LeMat-Bulk.

Geometry as POSCAR:
```
LiLuNiSn
1.0
0.000 3.376 3.376
3.376 0.000 3.376
3.376 3.376 0.000
Li Lu Ni Sn
1 1 1 1
direct
0.000 0.000 0.000
0.500 0.500 0.500
0.250 0.250 0.250
0.750 0.750 0.750
```

Calculated values
The value obtained for the energy is -4.29 eV per atom.